1.
# LaSnPb2 (PBE-GGA, relaxed)
data_LaSnPb2
_chemical_formula_sum 'La2 Sn2 Pb4'
_cell_length_a 8.821
_cell_length_b 8.821
_cell_length_c 7.073
_cell_angle_alpha 51.42
_cell_angle_beta 51.42
_cell_angle_gamma 90.00
_space_group_name_H-M_alt 'P 1'
_space_group_IT_number 1
_space_group_name_Hall 'P 1'
loop_
_atom_site_label
_atom_site_fract_x
_atom_site_fract_y
_atom_site_fract_z
Pb1 0.875 0.850 0.750
Pb2 0.600 0.125 0.250
Pb3 0.150 0.625 0.250
Pb4 0.375 0.400 0.750
La1 0.750 0.250 0.500
La2 0.000 0.000 0.000
Sn1 0.250 0.750 0.500
Sn2 0.500 0.500 0.000
# - E_form: -0.236 eV/atom

=====

2.
# La3Sn2Pb (PBE-GGA, relaxed)
data_La3Sn2Pb
_chemical_formula_sum 'La6 Sn4 Pb2'
_cell_length_a 6.685
_cell_length_b 6.493
_cell_length_c 9.442
_cell_angle_alpha 100.62
_cell_angle_beta 110.73
_cell_angle_gamma 90.00
_space_group_name_H-M_alt 'P 1'
_space_group_IT_number 1
_space_group_name_Hall 'P 1'
loop_
_atom_site_label
_atom_site_fract_x
_atom_site_fract_y
_atom_site_fract_z
Pb1 0.125 0.250 0.000
Pb2 0.875 0.750 0.000
Sn1 0.770 0.068 0.323
Sn2 0.447 0.432 0.677
Sn3 0.230 0.932 0.677
Sn4 0.553 0.568 0.323
La1 0.627 0.250 0.000
La2 0.291 0.108 0.344
La3 0.947 0.392 0.656
La4 0.053 0.608 0.344
La5 0.373 0.750 0.000
La6 0.709 0.892 0.656
# - Polymorph energy (0 for the lowest one): 1.4 kJ/mol of atoms
# - E_form: -0.651 eV/atom

=====

3.
# La4SnPb5 (PBE-GGA, relaxed)
data_La4SnPb5
_chemical_formula_sum 'La4 Sn1 Pb5'
_cell_length_a 6.010
_cell_length_b 6.770
_cell_length_c 8.451
_cell_angle_alpha 98.28
_cell_angle_beta 110.83
_cell_angle_gamma 90.00
_space_group_name_H-M_alt 'P 1'
_space_group_IT_number 1
_space_group_name_Hall 'P 1'
loop_
_atom_site_label
_atom_site_fract_x
_atom_site_fract_y
_atom_site_fract_z
La1 0.684 0.309 0.368
La2 0.316 0.691 0.632
La3 0.083 0.836 0.166
La4 0.917 0.164 0.834
Pb1 0.881 0.628 0.763
Pb2 0.703 0.817 0.406
Pb3 0.119 0.372 0.237
Pb4 0.500 0.500 0.000
Pb5 0.297 0.183 0.594
Sn1 0.500 0.000 0.000
# - E_form: -0.523 eV/atom

=====

4.
# La6Sn2Pb (PBE-GGA, relaxed)
data_La6Sn2Pb
_chemical_formula_sum 'La6 Sn2 Pb1'
_cell_length_a 3.407
_cell_length_b 9.545
_cell_length_c 9.545
_cell_angle_alpha 120.00
_cell_angle_beta 90.00
_cell_angle_gamma 90.00
_space_group_name_H-M_alt 'P 1'
_space_group_IT_number 1
_space_group_name_Hall 'P 1'
loop_
_atom_site_label
_atom_site_fract_x
_atom_site_fract_y
_atom_site_fract_z
La1 0.500 0.338 0.000
La2 0.500 0.000 0.662
La3 0.500 0.338 0.338
La4 0.500 0.000 0.338
La5 0.500 0.662 0.000
La6 0.500 0.662 0.662
Sn1 0.000 0.333 0.667
Sn2 0.000 0.667 0.333
Pb1 0.000 0.000 0.000
# - Polymorph energy (0 for the lowest one): 25.5 kJ/mol of atoms
# - E_form: -0.300 eV/atom

=====

5.
# La2Sn9Pb (PBE-GGA, relaxed)
data_La2Sn9Pb
_chemical_formula_sum 'La2 Sn9 Pb1'
_cell_length_a 4.756
_cell_length_b 4.756
_cell_length_c 15.002
_cell_angle_alpha 90.00
_cell_angle_beta 90.00
_cell_angle_gamma 90.00
_space_group_name_H-M_alt 'P 1'
_space_group_IT_number 1
_space_group_name_Hall 'P 1'
loop_
_atom_site_label
_atom_site_fract_x
_atom_site_fract_y
_atom_site_fract_z
Sn1 0.500 0.500 0.666
Sn2 0.500 0.000 0.500
Sn3 0.000 0.500 0.168
Sn4 0.000 0.500 0.832
Sn5 0.500 0.000 0.832
Sn6 0.000 0.500 0.500
Sn7 0.500 0.500 0.000
Sn8 0.500 0.500 0.334
Sn9 0.500 0.000 0.168
La1 0.000 0.000 0.657
La2 0.000 0.000 0.343
Pb1 0.000 0.000 0.000
# - E_form: -0.340 eV/atom

=====

6.
# La6Sn2Pb (PBE-GGA, relaxed)
data_La6Sn2Pb
_chemical_formula_sum 'La6 Sn2 Pb1'
_cell_length_a 4.507
_cell_length_b 8.845
_cell_length_c 8.845
_cell_angle_alpha 120.00
_cell_angle_beta 90.00
_cell_angle_gamma 90.00
_space_group_name_H-M_alt 'P 1'
_space_group_IT_number 1
_space_group_name_Hall 'P 1'
loop_
_atom_site_label
_atom_site_fract_x
_atom_site_fract_y
_atom_site_fract_z
La1 0.500 0.588 0.000
La2 0.500 0.412 0.412
La3 0.000 0.000 0.273
La4 0.500 0.000 0.588
La5 0.000 0.727 0.727
La6 0.000 0.273 0.000
Sn1 0.000 0.333 0.666
Sn2 0.000 0.667 0.334
Pb1 0.500 0.000 0.000
# - Polymorph energy (0 for the lowest one): 0.0 kJ/mol of atoms
# - E_form: -0.564 eV/atom

=====

7.
# La2SnPb (PBE-GGA, relaxed)
data_La2SnPb
_chemical_formula_sum 'La2 Sn1 Pb1'
_cell_length_a 4.614
_cell_length_b 5.170
_cell_length_c 5.170
_cell_angle_alpha 90.00
_cell_angle_beta 90.00
_cell_angle_gamma 90.00
_space_group_name_H-M_alt 'P 1'
_space_group_IT_number 1
_space_group_name_Hall 'P 1'
loop_
_atom_site_label
_atom_site_fract_x
_atom_site_fract_y
_atom_site_fract_z
La1 0.000 0.000 0.500
La2 0.000 0.500 0.000
Sn1 0.500 0.000 0.000
Pb1 0.500 0.500 0.500
# - Polymorph energy (0 for the lowest one): 4.5 kJ/mol of atoms
# - E_form: -0.659 eV/atom

=====

8.
# La2Sn4Pb (PBE-GGA, relaxed)
data_La2Sn4Pb
_chemical_formula_sum 'La2 Sn4 Pb1'
_cell_length_a 6.641
_cell_length_b 6.641
_cell_length_c 6.828
_cell_angle_alpha 119.12
_cell_angle_beta 119.12
_cell_angle_gamma 90.15
_space_group_name_H-M_alt 'P 1'
_space_group_IT_number 1
_space_group_name_Hall 'P 1'
loop_
_atom_site_label
_atom_site_fract_x
_atom_site_fract_y
_atom_site_fract_z
Sn1 0.786 0.786 0.072
Sn2 0.286 0.786 0.071
Sn3 0.786 0.286 0.071
Sn4 0.286 0.286 0.071
Pb1 0.786 0.786 0.571
La1 0.286 0.786 0.571
La2 0.786 0.286 0.571
# - Polymorph energy (0 for the lowest one): 0.0 kJ/mol of atoms
# - E_form: -0.485 eV/atom

=====

9.
# LaSnPb2 (PBE-GGA, relaxed)
data_LaSnPb2
_chemical_formula_sum 'La1 Sn1 Pb2'
_cell_length_a 3.576
_cell_length_b 3.576
_cell_length_c 12.148
_cell_angle_alpha 81.54
_cell_angle_beta 81.54
_cell_angle_gamma 60.00
_space_group_name_H-M_alt 'P 1'
_space_group_IT_number 1
_space_group_name_Hall 'P 1'
loop_
_atom_site_label
_atom_site_fract_x
_atom_site_fract_y
_atom_site_fract_z
Pb1 0.093 0.093 0.722
Pb2 0.907 0.907 0.278
La1 0.000 0.000 0.000
Sn1 0.500 0.500 0.500
# - E_form: 0.089 eV/atom

=====

10.
# La3SnPb (PBE-GGA, relaxed)
data_La3SnPb
_chemical_formula_sum 'La6 Sn2 Pb2'
_cell_length_a 5.572
_cell_length_b 8.753
_cell_length_c 9.646
_cell_angle_alpha 123.43
_cell_angle_beta 90.00
_cell_angle_gamma 108.57
_space_group_name_H-M_alt 'P 1'
_space_group_IT_number 1
_space_group_name_Hall 'P 1'
loop_
_atom_site_label
_atom_site_fract_x
_atom_site_fract_y
_atom_site_fract_z
Pb1 0.146 0.292 0.813
Pb2 0.854 0.708 0.187
La1 0.249 0.498 0.254
La2 0.100 0.201 0.433
La3 0.404 0.808 0.069
La4 0.596 0.192 0.931
La5 0.900 0.799 0.567
La6 0.751 0.502 0.746
Sn1 0.352 0.705 0.686
Sn2 0.648 0.295 0.314
# - Polymorph energy (0 for the lowest one): 0.0 kJ/mol of atoms
# - E_form: -0.548 eV/atom

=====

11.
# La2SnPb (PBE-GGA, relaxed)
data_La2SnPb
_chemical_formula_sum 'La4 Sn2 Pb2'
_cell_length_a 8.823
_cell_length_b 8.823
_cell_length_c 7.139
_cell_angle_alpha 51.83
_cell_angle_beta 51.83
_cell_angle_gamma 90.00
_space_group_name_H-M_alt 'P 1'
_space_group_IT_number 1
_space_group_name_Hall 'P 1'
loop_
_atom_site_label
_atom_site_fract_x
_atom_site_fract_y
_atom_site_fract_z
La1 0.621 0.125 0.250
La2 0.875 0.871 0.750
La3 0.129 0.625 0.250
La4 0.375 0.379 0.750
Sn1 0.250 0.750 0.500
Sn2 0.500 0.500 0.000
Pb1 0.000 0.000 0.000
Pb2 0.750 0.250 0.500
# - Polymorph energy (0 for the lowest one): 25.6 kJ/mol of atoms
# - E_form: -0.440 eV/atom

=====

12.
# La2Sn4Pb (PBE-GGA, relaxed)
data_La2Sn4Pb
_chemical_formula_sum 'La2 Sn4 Pb1'
_cell_length_a 4.625
_cell_length_b 4.625
_cell_length_c 10.159
_cell_angle_alpha 90.00
_cell_angle_beta 90.00
_cell_angle_gamma 90.00
_space_group_name_H-M_alt 'P 1'
_space_group_IT_number 1
_space_group_name_Hall 'P 1'
loop_
_atom_site_label
_atom_site_fract_x
_atom_site_fract_y
_atom_site_fract_z
Pb1 0.500 0.500 0.000
Sn1 0.500 0.500 0.500
Sn2 0.500 0.000 0.212
Sn3 0.000 0.000 0.500
Sn4 0.000 0.500 0.788
La1 0.500 0.000 0.750
La2 0.000 0.500 0.250
# - Polymorph energy (0 for the lowest one): 5.7 kJ/mol of atoms
# - E_form: -0.426 eV/atom

=====

no.,VASP energy (eV/atom),ρ (g/cm³)
1,-4.32,8.60
2,-5.07,7.61
3,-4.75,8.94
4,-4.89,7.90
5,-4.47,7.60
6,-5.15,6.95
7,-5.05,8.13
8,-4.71,7.30
9,-4.00,8.42
10,-5.05,6.80
11,-4.83,7.42
12,-4.65,7.34